(1)
# YMn4W | the Alexandria database | PBE | relaxed
# Energy relative to the elements ... 173 meV per atom
# DOS at the Fermi energy ... 6.40 states/eV per cell
# Energy ... -9.176 eV per atom
data_YMn4W
_symmetry_space_group_name_H-M 'P 1'
_symmetry_Int_Tables_number 1
_cell_length_a 4.937
_cell_length_b 4.937
_cell_length_c 4.937
_cell_angle_alpha 60.00
_cell_angle_beta 60.00
_cell_angle_gamma 60.00
loop_
_symmetry_equiv_pos_as_xyz
'x,y,z'
loop_
_atom_site_label
_atom_site_fract_x
_atom_site_fract_y
_atom_site_fract_z
Y1 0.000 0.000 0.000
Mn1 0.873 0.376 0.376
Mn2 0.376 0.376 0.873
Mn3 0.376 0.873 0.376
Mn4 0.376 0.376 0.376
W1 0.750 0.750 0.750

=====

(2)
# YMnW | the Alexandria database | PBE | relaxed
# Energy relative to the elements ... 444 meV per atom
# DOS at the Fermi energy ... 3.31 states/eV per cell
# Energy ... -9.085 eV per atom
# E above lowest polymorph ... 134 meV/atom
data_YMnW
_symmetry_space_group_name_H-M 'P 1'
_symmetry_Int_Tables_number 1
_cell_length_a 3.975
_cell_length_b 3.975
_cell_length_c 4.566
_cell_angle_alpha 90.00
_cell_angle_beta 90.00
_cell_angle_gamma 120.00
loop_
_symmetry_equiv_pos_as_xyz
'x,y,z'
loop_
_atom_site_label
_atom_site_fract_x
_atom_site_fract_y
_atom_site_fract_z
Mn1 0.000 0.000 0.166
W1 0.667 0.333 0.167
Y1 0.333 0.667 0.667

=====

(3)
# Mn2ZnW | the Alexandria database | PBE | relaxed
# Energy relative to the elements ... 98 meV per atom
# DOS at the Fermi energy ... 3.68 states/eV per cell
# Energy ... -8.044 eV per atom
data_Mn2ZnW
_symmetry_space_group_name_H-M 'P 1'
_symmetry_Int_Tables_number 1
_cell_length_a 3.063
_cell_length_b 3.067
_cell_length_c 6.420
_cell_angle_alpha 61.46
_cell_angle_beta 90.00
_cell_angle_gamma 90.00
loop_
_symmetry_equiv_pos_as_xyz
'x,y,z'
loop_
_atom_site_label
_atom_site_fract_x
_atom_site_fract_y
_atom_site_fract_z
Mn1 0.000 0.997 0.003
Mn2 0.000 0.503 0.497
W1 0.500 0.250 0.250
Zn1 0.500 0.750 0.750

=====

(4)
# Mn2ZnW | the Alexandria database | PBE | relaxed
# Energy relative to the elements ... 282 meV per atom
# DOS at the Fermi energy ... 3.27 states/eV per cell
# Energy ... -7.860 eV per atom
data_Mn2ZnW
_symmetry_space_group_name_H-M 'P 1'
_symmetry_Int_Tables_number 1
_cell_length_a 8.796
_cell_length_b 8.796
_cell_length_c 8.796
_cell_angle_alpha 17.36
_cell_angle_beta 17.36
_cell_angle_gamma 17.36
loop_
_symmetry_equiv_pos_as_xyz
'x,y,z'
loop_
_atom_site_label
_atom_site_fract_x
_atom_site_fract_y
_atom_site_fract_z
Mn1 0.994 0.994 0.994
Mn2 0.257 0.257 0.257
W1 0.504 0.504 0.504
Zn1 0.744 0.744 0.744

=====

(5)
# Mn2ZnW | the Alexandria database | PBE | relaxed
# Energy relative to the elements ... 302 meV per atom
# DOS at the Fermi energy ... 4.08 states/eV per cell
# Energy ... -7.839 eV per atom
data_Mn2ZnW
_symmetry_space_group_name_H-M 'P 1'
_symmetry_Int_Tables_number 1
_cell_length_a 4.254
_cell_length_b 4.254
_cell_length_c 4.254
_cell_angle_alpha 60.00
_cell_angle_beta 60.00
_cell_angle_gamma 60.00
loop_
_symmetry_equiv_pos_as_xyz
'x,y,z'
loop_
_atom_site_label
_atom_site_fract_x
_atom_site_fract_y
_atom_site_fract_z
Mn1 0.000 0.000 0.000
Mn2 0.250 0.250 0.250
W1 0.500 0.500 0.500
Zn1 0.750 0.750 0.750

=====

(6)
# Mn2ZnW | the Alexandria database | PBE | relaxed
# Energy relative to the elements ... 218 meV per atom
# DOS at the Fermi energy ... 4.04 states/eV per cell
# Energy ... -7.923 eV per atom
data_Mn2ZnW
_symmetry_space_group_name_H-M 'P 1'
_symmetry_Int_Tables_number 1
_cell_length_a 4.150
_cell_length_b 2.612
_cell_length_c 5.025
_cell_angle_alpha 76.94
_cell_angle_beta 90.00
_cell_angle_gamma 90.00
loop_
_symmetry_equiv_pos_as_xyz
'x,y,z'
loop_
_atom_site_label
_atom_site_fract_x
_atom_site_fract_y
_atom_site_fract_z
Mn1 0.000 0.991 0.003
Mn2 0.500 0.231 0.244
W1 0.000 0.484 0.488
Zn1 0.500 0.794 0.764

=====

Question: Which of these has the highest energy relative to the elements?
Answer: YMnW